Record 1
# CaPr2Pd4 | the Alexandria database | PBE | relaxed
data_CaPr2Pd4
_chemical_formula_sum 'Ca2 Pr4 Pd8'
_cell_length_a 5.504
_cell_length_b 5.504
_cell_length_c 11.052
_cell_angle_alpha 90.00
_cell_angle_beta 90.00
_cell_angle_gamma 90.00
_symmetry_space_group_name_H-M 'I 4/m m m'
_symmetry_Int_Tables_number 139
_symmetry_space_group_name_Hall '-I 4 2'
loop_
_atom_site_label
_atom_site_type_symbol
_atom_site_fract_x
_atom_site_fract_y
_atom_site_fract_z
_atom_site_occupancy
Ca1 Ca 0.000 0.000 0.000 1
Pr1 Pr 0.000 0.000 0.316 1
Pd1 Pd 0.000 0.500 0.125 1
# DFT formation energy	-0.621	eV/atom
# final energy	-73.4	eV for the cell shown
# total moment	0.00	μB per formula unit

=====

Record 2
# SmTm2Sc4 | the Alexandria database | PBE | relaxed
data_SmTm2Sc4
_chemical_formula_sum 'Sm2 Tm4 Sc8'
_cell_length_a 5.777
_cell_length_b 7.912
_cell_length_c 9.002
_cell_angle_alpha 88.40
_cell_angle_beta 79.03
_cell_angle_gamma 72.31
_symmetry_space_group_name_H-M 'P 1'
_symmetry_Int_Tables_number 1
_symmetry_space_group_name_Hall 'P 1'
loop_
_atom_site_label
_atom_site_type_symbol
_atom_site_fract_x
_atom_site_fract_y
_atom_site_fract_z
_atom_site_occupancy
Sm1 Sm 0.000 0.000 0.000 1
Sm2 Sm 0.436 0.226 0.923 1
Tm1 Tm 0.397 0.294 0.558 1
Tm2 Tm 0.567 0.770 0.051 1
Tm3 Tm 0.840 0.520 0.506 1
Tm4 Tm 0.964 0.069 0.626 1
Sc1 Sc 0.095 0.565 0.144 1
Sc2 Sc 0.147 0.661 0.768 1
Sc3 Sc 0.201 0.148 0.279 1
Sc4 Sc 0.305 0.728 0.410 1
Sc5 Sc 0.531 0.875 0.698 1
Sc6 Sc 0.650 0.361 0.215 1
Sc7 Sc 0.746 0.932 0.348 1
Sc8 Sc 0.861 0.410 0.860 1
# DFT formation energy	0.101	eV/atom
# final energy	-76.6	eV for the cell shown
# total moment	0.00	μB per formula unit